*i*
# NaAl2Sb2 PBE-GGA optimized geometry
data_NaAl2Sb2
_chemical_formula_sum 'Na1 Al2 Sb2'
_cell_length_a 7.953
_cell_length_b 7.953
_cell_length_c 7.953
_cell_angle_alpha 147.40
_cell_angle_beta 147.40
_cell_angle_gamma 46.77
_symmetry_space_group_name_H-M 'P 1'
_symmetry_Int_Tables_number 1
loop_
_symmetry_equiv_pos_as_xyz
'x,y,z'
loop_
_atom_site_label
_atom_site_type_symbol
_atom_site_fract_x
_atom_site_fract_y
_atom_site_fract_z
Na1 Na 0.000 0.000 0.000
Al1 Al 0.250 0.750 0.500
Al2 Al 0.750 0.250 0.500
Sb1 Sb 0.365 0.365 0.000
Sb2 Sb 0.635 0.635 0.000
# symmetry = I4/mmm, No. 139
# calculated density = 3.7 g/cm3

---

*ii*
# NaAl2Sb2 PBE-GGA optimized geometry
data_NaAl2Sb2
_chemical_formula_sum 'Na2 Al4 Sb4'
_cell_length_a 8.031
_cell_length_b 8.031
_cell_length_c 3.799
_cell_angle_alpha 90.00
_cell_angle_beta 90.00
_cell_angle_gamma 90.00
_symmetry_space_group_name_H-M 'P 1'
_symmetry_Int_Tables_number 1
loop_
_symmetry_equiv_pos_as_xyz
'x,y,z'
loop_
_atom_site_label
_atom_site_type_symbol
_atom_site_fract_x
_atom_site_fract_y
_atom_site_fract_z
Na1 Na 0.000 0.000 0.000
Na2 Na 0.500 0.500 0.000
Al1 Al 0.132 0.368 0.500
Al2 Al 0.368 0.868 0.500
Al3 Al 0.632 0.132 0.500
Al4 Al 0.868 0.632 0.500
Sb1 Sb 0.155 0.655 0.000
Sb2 Sb 0.345 0.155 0.000
Sb3 Sb 0.655 0.845 0.000
Sb4 Sb 0.845 0.345 0.000
# symmetry = P4/mbm, No. 127
# calculated density = 4.3 g/cm3

---

How do the energies compare? Relative to the most stable structure, in meV/atom: *i* 0; *ii* 137.

---

*i*
# Na2Al2Sb3 PBE-GGA optimized geometry
data_Na2Al2Sb3
_chemical_formula_sum 'Na4 Al4 Sb6'
_cell_length_a 9.074
_cell_length_b 9.074
_cell_length_c 12.389
_cell_angle_alpha 124.21
_cell_angle_beta 124.21
_cell_angle_gamma 28.79
_symmetry_space_group_name_H-M 'P 1'
_symmetry_Int_Tables_number 1
loop_
_symmetry_equiv_pos_as_xyz
'x,y,z'
loop_
_atom_site_label
_atom_site_type_symbol
_atom_site_fract_x
_atom_site_fract_y
_atom_site_fract_z
Na1 Na 0.111 0.111 0.471
Na2 Na 0.234 0.234 0.829
Na3 Na 0.766 0.766 0.171
Na4 Na 0.889 0.889 0.529
Al1 Al 0.083 0.083 0.155
Al2 Al 0.468 0.468 0.200
Al3 Al 0.532 0.532 0.800
Al4 Al 0.917 0.917 0.845
Sb1 Sb 0.111 0.111 0.958
Sb2 Sb 0.346 0.346 0.691
Sb3 Sb 0.417 0.417 0.369
Sb4 Sb 0.583 0.583 0.631
Sb5 Sb 0.654 0.654 0.309
Sb6 Sb 0.889 0.889 0.042
# symmetry = C2/m, No. 12
# calculated density = 3.9 g/cm3

---

*ii*
# Na2Al2Sb3 PBE-GGA optimized geometry
data_Na2Al2Sb3
_chemical_formula_sum 'Na16 Al16 Sb24'
_cell_length_a 14.224
_cell_length_b 7.293
_cell_length_c 15.563
_cell_angle_alpha 90.00
_cell_angle_beta 90.33
_cell_angle_gamma 90.00
_symmetry_space_group_name_H-M 'P 1'
_symmetry_Int_Tables_number 1
loop_
_symmetry_equiv_pos_as_xyz
'x,y,z'
loop_
_atom_site_label
_atom_site_type_symbol
_atom_site_fract_x
_atom_site_fract_y
_atom_site_fract_z
Na1 Na 0.061 0.055 0.101
Na2 Na 0.061 0.445 0.601
Na3 Na 0.148 0.563 0.021
Na4 Na 0.148 0.937 0.521
Na5 Na 0.365 0.044 0.012
Na6 Na 0.365 0.456 0.512
Na7 Na 0.420 0.535 0.114
Na8 Na 0.420 0.965 0.614
Na9 Na 0.580 0.035 0.386
Na10 Na 0.580 0.465 0.886
Na11 Na 0.635 0.544 0.488
Na12 Na 0.635 0.956 0.988
Na13 Na 0.852 0.063 0.479
Na14 Na 0.852 0.437 0.979
Na15 Na 0.939 0.555 0.399
Na16 Na 0.939 0.945 0.899
Al1 Al 0.093 0.728 0.262
Al2 Al 0.093 0.772 0.762
Al3 Al 0.187 0.210 0.339
Al4 Al 0.187 0.290 0.839
Al5 Al 0.312 0.734 0.332
Al6 Al 0.312 0.766 0.832
Al7 Al 0.405 0.207 0.272
Al8 Al 0.405 0.293 0.772
Al9 Al 0.595 0.707 0.228
Al10 Al 0.595 0.793 0.728
Al11 Al 0.688 0.234 0.168
Al12 Al 0.688 0.266 0.668
Al13 Al 0.813 0.710 0.161
Al14 Al 0.813 0.790 0.661
Al15 Al 0.907 0.228 0.238
Al16 Al 0.907 0.272 0.738
Sb1 Sb 0.021 0.025 0.343
Sb2 Sb 0.021 0.475 0.843
Sb3 Sb 0.163 0.548 0.404
Sb4 Sb 0.163 0.952 0.904
Sb5 Sb 0.246 0.226 0.174
Sb6 Sb 0.246 0.274 0.674
Sb7 Sb 0.251 0.675 0.670
Sb8 Sb 0.251 0.825 0.170
Sb9 Sb 0.342 0.047 0.419
Sb10 Sb 0.342 0.453 0.919
Sb11 Sb 0.472 0.530 0.332
Sb12 Sb 0.472 0.970 0.832
Sb13 Sb 0.528 0.030 0.168
Sb14 Sb 0.528 0.470 0.668
Sb15 Sb 0.658 0.547 0.081
Sb16 Sb 0.658 0.953 0.581
Sb17 Sb 0.749 0.175 0.830
Sb18 Sb 0.749 0.325 0.330
Sb19 Sb 0.754 0.726 0.326
Sb20 Sb 0.754 0.774 0.826
Sb21 Sb 0.837 0.048 0.096
Sb22 Sb 0.837 0.452 0.596
Sb23 Sb 0.979 0.525 0.157
Sb24 Sb 0.979 0.975 0.657
# symmetry = P2_1/c, No. 14
# calculated density = 3.8 g/cm3

---

How do the energies compare? Relative to the most stable structure, in meV/atom: *i* 54; *ii* 0.

---

*i*
# Na3Al2Sb4 PBE-GGA optimized geometry
data_Na3Al2Sb4
_chemical_formula_sum 'Na3 Al2 Sb4'
_cell_length_a 9.021
_cell_length_b 9.021
_cell_length_c 7.785
_cell_angle_alpha 114.81
_cell_angle_beta 114.81
_cell_angle_gamma 27.44
_symmetry_space_group_name_H-M 'P 1'
_symmetry_Int_Tables_number 1
loop_
_symmetry_equiv_pos_as_xyz
'x,y,z'
loop_
_atom_site_label
_atom_site_type_symbol
_atom_site_fract_x
_atom_site_fract_y
_atom_site_fract_z
Na1 Na 0.000 0.000 0.000
Na2 Na 0.146 0.146 0.756
Na3 Na 0.854 0.854 0.244
Al1 Al 0.326 0.326 0.598
Al2 Al 0.674 0.674 0.402
Sb1 Sb 0.207 0.207 0.224
Sb2 Sb 0.493 0.493 0.670
Sb3 Sb 0.507 0.507 0.330
Sb4 Sb 0.793 0.793 0.776
# symmetry = C2/m, No. 12
# calculated density = 3.8 g/cm3

---

*ii*
# Na3Al2Sb4 PBE-GGA optimized geometry
data_Na3Al2Sb4
_chemical_formula_sum 'Na3 Al2 Sb4'
_cell_length_a 7.375
_cell_length_b 7.375
_cell_length_c 9.501
_cell_angle_alpha 113.17
_cell_angle_beta 113.17
_cell_angle_gamma 33.11
_symmetry_space_group_name_H-M 'P 1'
_symmetry_Int_Tables_number 1
loop_
_symmetry_equiv_pos_as_xyz
'x,y,z'
loop_
_atom_site_label
_atom_site_type_symbol
_atom_site_fract_x
_atom_site_fract_y
_atom_site_fract_z
Na1 Na 0.000 0.000 0.000
Na2 Na 0.396 0.396 0.312
Na3 Na 0.604 0.604 0.688
Al1 Al 0.288 0.288 0.643
Al2 Al 0.712 0.712 0.357
Sb1 Sb 0.099 0.099 0.389
Sb2 Sb 0.301 0.301 0.941
Sb3 Sb 0.699 0.699 0.059
Sb4 Sb 0.901 0.901 0.611
# symmetry = C2/m, No. 12
# calculated density = 3.9 g/cm3

---

How do the energies compare? Relative to the most stable structure, in meV/atom: *i* 0; *ii* 40.

---

*i*
# Na3AlSb PBE-GGA optimized geometry
data_Na3AlSb
_chemical_formula_sum 'Na3 Al1 Sb1'
_cell_length_a 5.847
_cell_length_b 5.847
_cell_length_c 5.847
_cell_angle_alpha 90.00
_cell_angle_beta 90.00
_cell_angle_gamma 90.00
_symmetry_space_group_name_H-M 'P 1'
_symmetry_Int_Tables_number 1
loop_
_symmetry_equiv_pos_as_xyz
'x,y,z'
loop_
_atom_site_label
_atom_site_type_symbol
_atom_site_fract_x
_atom_site_fract_y
_atom_site_fract_z
Na1 Na 0.000 0.000 0.500
Na2 Na 0.000 0.500 0.000
Na3 Na 0.500 0.000 0.000
Al1 Al 0.500 0.500 0.500
Sb1 Sb 0.000 0.000 0.000
# symmetry = Pm-3m, No. 221
# calculated density = 1.8 g/cm3

---

*ii*
# Na3AlSb PBE-GGA optimized geometry
data_Na3AlSb
_chemical_formula_sum 'Na3 Al1 Sb1'
_cell_length_a 5.547
_cell_length_b 5.547
_cell_length_c 5.547
_cell_angle_alpha 90.00
_cell_angle_beta 90.00
_cell_angle_gamma 90.00
_symmetry_space_group_name_H-M 'P 1'
_symmetry_Int_Tables_number 1
loop_
_symmetry_equiv_pos_as_xyz
'x,y,z'
loop_
_atom_site_label
_atom_site_type_symbol
_atom_site_fract_x
_atom_site_fract_y
_atom_site_fract_z
Na1 Na 0.000 0.000 0.500
Na2 Na 0.000 0.500 0.000
Na3 Na 0.500 0.000 0.000
Al1 Al 0.000 0.000 0.000
Sb1 Sb 0.500 0.500 0.500
# symmetry = Pm-3m, No. 221
# calculated density = 2.1 g/cm3

---

How do the energies compare? Relative to the most stable structure, in meV/atom: *i* 0; *ii* 219.

---

*i*
# NaAlSbTe2 PBE-GGA optimized geometry
data_NaAlSbTe2
_chemical_formula_sum 'Na1 Al1 Sb1 Te2'
_cell_length_a 5.564
_cell_length_b 5.564
_cell_length_c 5.229
_cell_angle_alpha 90.00
_cell_angle_beta 90.00
_cell_angle_gamma 90.00
_symmetry_space_group_name_H-M 'P 1'
_symmetry_Int_Tables_number 1
loop_
_symmetry_equiv_pos_as_xyz
'x,y,z'
loop_
_atom_site_label
_atom_site_type_symbol
_atom_site_fract_x
_atom_site_fract_y
_atom_site_fract_z
Na1 Na 0.000 0.000 0.000
Al1 Al 0.500 0.500 0.500
Sb1 Sb 0.500 0.500 0.000
Te1 Te 0.000 0.500 0.500
Te2 Te 0.500 0.000 0.500
# symmetry = P4/mmm, No. 123
# calculated density = 4.4 g/cm3

---

*ii*
# NaAlSbTe2 PBE-GGA optimized geometry
data_NaAlSbTe2
_chemical_formula_sum 'Na1 Al1 Sb1 Te2'
_cell_length_a 5.613
_cell_length_b 5.613
_cell_length_c 5.372
_cell_angle_alpha 90.00
_cell_angle_beta 90.00
_cell_angle_gamma 90.00
_symmetry_space_group_name_H-M 'P 1'
_symmetry_Int_Tables_number 1
loop_
_symmetry_equiv_pos_as_xyz
'x,y,z'
loop_
_atom_site_label
_atom_site_type_symbol
_atom_site_fract_x
_atom_site_fract_y
_atom_site_fract_z
Na1 Na 0.000 0.000 0.000
Al1 Al 0.500 0.500 0.500
Sb1 Sb 0.000 0.000 0.500
Te1 Te 0.000 0.500 0.000
Te2 Te 0.500 0.000 0.000
# symmetry = P4/mmm, No. 123
# calculated density = 4.2 g/cm3

---

How do the energies compare? Relative to the most stable structure, in meV/atom: *i* 0; *ii* 670.